DFT (PBE-GGA) results for crystalline SrNiBr2 at its relaxed geometry.

Calculated values
Polymorph energy (0 for the lowest one) (meV/atom): 385
Formation energy (no corrections) (meV/atom): -611

abc: 4.027 4.517 5.393
angles: 90.00 90.00 90.00
Sites, in units of the cell vectors:
Sr 0.000 0.000 0.000
Ni 0.000 0.500 0.500
Br 0.500 0.000 0.500
Br 0.500 0.500 0.000